No. 1
Below is crystalline RbPa2MnS8 at its relaxed geometry, with properties calculated at the GGA-PBE level.

Its uncorrected formation energy is -1.06 eV per atom. The crystal system is trigonal. For the spin magnetization, the calculation gives 2.945 μB per cell.

The space group is P-3m1 (No. 164) and the conventional cell measures 5.9799, 5.9799 and 9.3680 Å, with angles of 90.00, 90.00 and 120.00 degrees. The distinct sites, in fractional coordinates, are Rb at (0.0000, 0.0000, 0.0000), Pa at (0.3333, 0.6667, 0.3855), Mn at (0.0000, 0.0000, 0.5000), S at (0.1743, 0.3485, 0.6469) and S at (0.3333, 0.6667, 0.1278).

=====

No. 2
Below is crystalline Cr2Fe2Rh7 at its relaxed geometry, with properties calculated at the GGA-PBE level.

The calculation puts the calculated formation energy at 0.25 eV per atom. The crystal system is monoclinic. For the spin magnetization, the calculation gives 11.127 μB per cell.

The space group is C2/m (No. 12) and the conventional cell measures 9.809, 8.083 and 4.606 Å, with angles of 90.00, 117.92 and 90.00 degrees. The distinct sites, in fractional coordinates, are Cr at (0.000, 0.000, 0.242), Fe at (0.000, 0.328, 0.000), Rh at (0.000, 0.500, 0.500), Rh at (0.235, 0.162, 0.236) and Rh at (0.247, 0.500, 0.247).

=====

No. 3
Below is crystalline BeTeW2 at its relaxed geometry, with properties calculated at the GGA-PBE level.

Its uncorrected formation energy is 0.71 eV per atom. The crystal system is monoclinic. Its relative energy among the computed polymorphs is 401 meV per atom. For the spin magnetization, the calculation gives 0.000 μB per cell.

The space group is P2/m (No. 10) and the conventional cell measures 3.231, 4.005 and 5.502 Å, with angles of 90.00, 105.77 and 90.00 degrees. The distinct sites, in fractional coordinates, are Be at (0.000, 0.000, 0.000), Te at (0.000, 0.000, 0.500) and W at (0.341, 0.500, 0.186).